First-principles (PBE) data for a geometry-optimized BeAlPt2 structure, as listed in Alexandria via LeMat-Bulk.

Calculated values
E (eV per atom): -5.58
Formation energy from the elements (eV per atom): -0.69

Cell: 3.125 3.125 5.646 Å, 90.00 90.00 90.00°
Element x y z (fractional)
Be (0.000, 0.000, 0.000)
Al (0.500, 0.500, 0.723)
Pt (0.000, 0.000, 0.512)
Pt (0.500, 0.500, 0.157)